Below is a relaxed LiMnPO4 crystal, with properties calculated at the PBE with a Hubbard U level.

The structure in POSCAR format:
```
LiMnPO4
1.0
2.523 1.456 7.828
-2.523 1.456 7.828
0.000 -2.913 7.828
Li Mn P O
2 2 2 8
direct
0.221 0.221 0.221 Li
0.779 0.779 0.779 Li
0.348 0.348 0.348 Mn
0.652 0.652 0.652 Mn
0.078 0.078 0.078 P
0.922 0.922 0.922 P
0.018 0.781 0.365 O
0.142 0.142 0.142 O
0.219 0.635 0.982 O
0.365 0.018 0.781 O
0.635 0.982 0.219 O
0.781 0.365 0.018 O
0.858 0.858 0.858 O
0.982 0.219 0.635 O
```

## Properties
* VASP energy: -99.4 eV per cell
* crystal system: trigonal
* relative energy among the computed polymorphs: 83 meV/atom
* magnetization: 5.000 μB/f.u.
* space group: R-3